An optimized crystal structure of AcGd2Mn. Source: Alexandria, functional GGA-PBE.

Total magnetic moment   2.827 μB/atom
Space group   No. 123
Energy of formation   0.128 eV per atom

Cell: 3.667 3.667 9.059 Å, 90.00 90.00 90.00°
Fractional coordinates of all 4 atoms:
Ac1 0.000 0.000 0.000
Gd1 0.500 0.500 0.314
Gd2 0.500 0.500 0.686
Mn1 0.000 0.000 0.500

An optimized crystal structure of AcGd3Mn. Source: Alexandria, functional GGA-PBE.

Total magnetic moment   4.223 μB/atom
Space group   No. 221
Energy of formation   0.166 eV per atom

Cell: 5.452 5.452 5.452 Å, 90.00 90.00 90.00°
Fractional coordinates of all 5 atoms:
Ac1 0.000 0.000 0.000
Gd1 0.000 0.500 0.500
Gd2 0.500 0.000 0.500
Gd3 0.500 0.500 0.000
Mn1 0.500 0.500 0.500

An optimized crystal structure of AcGd3N. Source: Alexandria, functional GGA-PBE.

Total magnetic moment   4.434 μB/atom
Uncorrected formation energy   -9.6 kcal/mol of atoms
Space group   No. 221

Cell: 5.106 5.106 5.106 Å, 90.00 90.00 90.00°
Fractional coordinates of all 5 atoms:
Ac1 0.000 0.000 0.000
Gd1 0.000 0.500 0.500
Gd2 0.500 0.000 0.500
Gd3 0.500 0.500 0.000
N1 0.500 0.500 0.500

An optimized crystal structure of AcGdN. Source: Alexandria, functional GGA-PBE.

Total magnetic moment   2.528 μB/atom
Energy above the lowest structure with this stoichiometry   0.914 eV/atom
Uncorrected formation energy   2.7 kcal/mol of atoms
Space group   No. 107

Cell: 5.487 5.487 5.487 Å, 123.52 123.52 84.00°
Fractional coordinates of all 3 atoms:
Ac1 0.000 0.000 0.000
Gd1 0.484 0.484 0.000
N1 0.729 0.729 0.000